# GGA-PBEsol BeTc2Se, relaxed
data_BeTc2Se
_chemical_formula_sum 'Be4 Tc8 Se4'
_symmetry_space_group_name_H-M 'I -4 2 d'
_symmetry_Int_Tables_number 122
_symmetry_space_group_name_Hall 'I -4 2bw'
_cell_length_a 3.715
_cell_length_b 3.715
_cell_length_c 16.817
_cell_angle_alpha 90.00
_cell_angle_beta 90.00
_cell_angle_gamma 90.00
loop_
_atom_site_label
_atom_site_type_symbol
_atom_site_fract_x
_atom_site_fract_y
_atom_site_fract_z
Be1 Be 0.000 0.000 0.000
Tc1 Tc 0.206 0.250 0.125
Se1 Se 0.000 0.000 0.500
# Mass density   8.128 g/cm³
# ΔE to the lowest computed polymorph   1.570 eV/f.u.
# Uncorrected formation energy   0.433 eV per atom
# N(E_F)   0.8632 states/eV/atom

***

# GGA-PBEsol Li3Cu2S3O12, relaxed
data_Li3Cu2S3O12
_chemical_formula_sum 'Li18 Cu12 S18 O72'
_symmetry_space_group_name_H-M 'R -3'
_symmetry_Int_Tables_number 148
_symmetry_space_group_name_Hall '-R 3'
_cell_length_a 8.4264
_cell_length_b 8.4264
_cell_length_c 22.8220
_cell_angle_alpha 90.00
_cell_angle_beta 90.00
_cell_angle_gamma 120.00
loop_
_atom_site_label
_atom_site_type_symbol
_atom_site_fract_x
_atom_site_fract_y
_atom_site_fract_z
Li1 Li 0.0075 0.6338 0.2131
Cu1 Cu 0.0000 0.0000 0.1594
Cu2 Cu 0.0000 0.0000 0.3514
S1 S 0.0032 0.3017 0.2492
O1 O 0.0064 0.2096 0.3025
O2 O 0.0672 0.2293 0.5894
O3 O 0.0716 0.5050 0.8662
O4 O 0.0936 0.2395 0.8965
# Mass density   3.096 g/cm³
# Uncorrected formation energy   -1.461 eV per atom
# N(E_F)   0.5799 states/eV/atom

***

# GGA-PBEsol NaTl2Rh2, relaxed
data_NaTl2Rh2
_chemical_formula_sum 'Na2 Tl4 Rh4'
_symmetry_space_group_name_H-M 'I 4/m m m'
_symmetry_Int_Tables_number 139
_symmetry_space_group_name_Hall '-I 4 2'
_cell_length_a 3.971
_cell_length_b 3.971
_cell_length_c 13.114
_cell_angle_alpha 90.00
_cell_angle_beta 90.00
_cell_angle_gamma 90.00
loop_
_atom_site_label
_atom_site_type_symbol
_atom_site_fract_x
_atom_site_fract_y
_atom_site_fract_z
Na1 Na 0.000 0.000 0.000
Tl1 Tl 0.000 0.000 0.388
Rh1 Rh 0.000 0.500 0.250
# Mass density   10.237 g/cm³
# ΔE to the lowest computed polymorph   0.796 eV/f.u.
# Formation enthalpy at 0 K   0.1985 eV/atom
# N(E_F)   0.9165 states/eV/atom

***

# GGA-PBEsol KAg2SeBr, relaxed
data_KAg2SeBr
_chemical_formula_sum 'K1 Ag2 Se1 Br1'
_symmetry_space_group_name_H-M 'P 4/m m m'
_symmetry_Int_Tables_number 123
_symmetry_space_group_name_Hall '-P 4 2'
_cell_length_a 4.843
_cell_length_b 4.843
_cell_length_c 6.453
_cell_angle_alpha 90.00
_cell_angle_beta 90.00
_cell_angle_gamma 90.00
loop_
_atom_site_label
_atom_site_type_symbol
_atom_site_fract_x
_atom_site_fract_y
_atom_site_fract_z
K1 K 0.000 0.000 0.000
Ag1 Ag 0.000 0.500 0.500
Se1 Se 0.000 0.000 0.500
Br1 Br 0.500 0.500 0.000
# Mass density   4.540 g/cm³
# Uncorrected formation energy   -0.469 eV per atom

***

# GGA-PBEsol NbTe4Ir, relaxed
data_NbTe4Ir
_chemical_formula_sum 'Nb4 Te16 Ir4'
_symmetry_space_group_name_H-M 'P m n 21'
_symmetry_Int_Tables_number 31
_symmetry_space_group_name_Hall 'P 2ac -2'
_cell_length_a 3.758
_cell_length_b 12.517
_cell_length_c 12.966
_cell_angle_alpha 90.00
_cell_angle_beta 90.00
_cell_angle_gamma 90.00
loop_
_atom_site_label
_atom_site_type_symbol
_atom_site_fract_x
_atom_site_fract_y
_atom_site_fract_z
Nb1 Nb 0.000 0.056 0.000
Nb2 Nb 0.000 0.270 0.485
Te1 Te 0.000 0.066 0.385
Te2 Te 0.000 0.194 0.844
Te3 Te 0.000 0.347 0.090
Te4 Te 0.000 0.414 0.636
Te5 Te 0.000 0.564 0.389
Te6 Te 0.000 0.676 0.838
Te7 Te 0.000 0.852 0.104
Te8 Te 0.000 0.889 0.647
Ir1 Ir 0.000 0.537 0.994
Ir2 Ir 0.000 0.754 0.486
# Mass density   8.664 g/cm³
# Uncorrected formation energy   -0.401 eV per atom
# N(E_F)   0.2032 states/eV/atom

***

# GGA-PBEsol Rb2NaTlBr6, relaxed
data_Rb2NaTlBr6
_chemical_formula_sum 'Rb8 Na4 Tl4 Br24'
_symmetry_space_group_name_H-M 'F m -3 m'
_symmetry_Int_Tables_number 225
_symmetry_space_group_name_Hall '-F 4 2 3'
_cell_length_a 11.108
_cell_length_b 11.108
_cell_length_c 11.108
_cell_angle_alpha 90.00
_cell_angle_beta 90.00
_cell_angle_gamma 90.00
loop_
_atom_site_label
_atom_site_type_symbol
_atom_site_fract_x
_atom_site_fract_y
_atom_site_fract_z
Rb1 Rb 0.250 0.250 0.250
Na1 Na 0.000 0.000 0.000
Tl1 Tl 0.000 0.000 0.500
Br1 Br 0.000 0.000 0.255
# Mass density   4.254 g/cm³
# Uncorrected formation energy   -1.177 eV per atom

***

# GGA-PBEsol NbV2W, relaxed
data_NbV2W
_chemical_formula_sum 'Nb4 V8 W4'
_symmetry_space_group_name_H-M 'F m -3 m'
_symmetry_Int_Tables_number 225
_symmetry_space_group_name_Hall '-F 4 2 3'
_cell_length_a 6.177
_cell_length_b 6.177
_cell_length_c 6.177
_cell_angle_alpha 90.00
_cell_angle_beta 90.00
_cell_angle_gamma 90.00
loop_
_atom_site_label
_atom_site_type_symbol
_atom_site_fract_x
_atom_site_fract_y
_atom_site_fract_z
Nb1 Nb 0.000 0.000 0.000
V1 V 0.250 0.250 0.250
W1 W 0.000 0.000 0.500
# Mass density   10.672 g/cm³
# Formation enthalpy at 0 K   -0.0037 eV/atom
# N(E_F)   1.4679 states/eV/atom

***

# GGA-PBEsol CsSe2S2, relaxed
data_CsSe2S2
_chemical_formula_sum 'Cs2 Se4 S4'
_symmetry_space_group_name_H-M 'P 4/m b m'
_symmetry_Int_Tables_number 127
_symmetry_space_group_name_Hall '-P 4 2ab'
_cell_length_a 9.167
_cell_length_b 9.167
_cell_length_c 3.951
_cell_angle_alpha 90.00
_cell_angle_beta 90.00
_cell_angle_gamma 90.00
loop_
_atom_site_label
_atom_site_type_symbol
_atom_site_fract_x
_atom_site_fract_y
_atom_site_fract_z
Cs1 Cs 0.000 0.000 0.000
Se1 Se 0.147 0.353 0.000
S1 S 0.237 0.263 0.500
# Mass density   3.550 g/cm³
# Uncorrected formation energy   -0.244 eV per atom
# N(E_F)   0.6621 states/eV/atom

***

# GGA-PBEsol SrLiW, relaxed
data_SrLiW
_chemical_formula_sum 'Sr1 Li1 W1'
_symmetry_space_group_name_H-M 'P 3 m 1'
_symmetry_Int_Tables_number 156
_symmetry_space_group_name_Hall 'P 3 -2"'
_cell_length_a 2.9780
_cell_length_b 2.9780
_cell_length_c 8.2399
_cell_angle_alpha 90.00
_cell_angle_beta 90.00
_cell_angle_gamma 120.00
loop_
_atom_site_label
_atom_site_type_symbol
_atom_site_fract_x
_atom_site_fract_y
_atom_site_fract_z
Sr1 Sr 0.0000 0.0000 0.0000
Li1 Li 0.3333 0.6667 0.3919
W1 W 0.6667 0.3333 0.6752
# Mass density   7.305 g/cm³
# Formation enthalpy at 0 K   1.0716 eV/atom
# N(E_F)   0.7619 states/eV/atom

***

# GGA-PBEsol AlPd5, relaxed
data_AlPd5
_chemical_formula_sum 'Al4 Pd20'
_symmetry_space_group_name_H-M 'P n m a'
_symmetry_Int_Tables_number 62
_symmetry_space_group_name_Hall '-P 2ac 2n'
_cell_length_a 10.739
_cell_length_b 3.956
_cell_length_c 8.069
_cell_angle_alpha 90.00
_cell_angle_beta 90.00
_cell_angle_gamma 90.00
loop_
_atom_site_label
_atom_site_type_symbol
_atom_site_fract_x
_atom_site_fract_y
_atom_site_fract_z
Al1 Al 0.079 0.250 0.112
Pd1 Pd 0.045 0.250 0.779
Pd2 Pd 0.069 0.250 0.428
Pd3 Pd 0.167 0.750 0.952
Pd4 Pd 0.184 0.750 0.612
Pd5 Pd 0.202 0.750 0.282
# Mass density   10.834 g/cm³
# Formation enthalpy at 0 K   -0.4659 eV/atom
# N(E_F)   0.7340 states/eV/atom